{"formula": "YBiP2O", "functional": "GGA-PBE", "state": "relaxed", "lattice": [[-0.506, -4.316, -2.818], [5.055, 0.140, -1.121], [0.822, -2.328, 3.417]], "species": ["Y", "P", "P", "Bi", "O"], "frac_coords": [[0.500, 0.500, 0.500], [0.000, 0.500, 0.000], [0.500, 0.000, 0.000], [0.000, 0.000, 0.000], [0.000, 0.000, 0.500]], "spacegroup": "P4/mmm", "mass_density_kg_m3": 5518, "total_energy_ev_per_atom": -5.33}

=====

{"formula": "YBiP2O", "functional": "GGA-PBE", "state": "relaxed", "lattice": [[5.422, 0.000, 0.000], [0.000, 5.422, 0.000], [0.000, 0.000, 4.157]], "species": ["Y", "P", "P", "Bi", "O"], "frac_coords": [[0.000, 0.000, 0.000], [0.000, 0.500, 0.000], [0.500, 0.000, 0.000], [0.500, 0.500, 0.500], [0.000, 0.000, 0.500]], "spacegroup": "P4/mmm", "mass_density_kg_m3": 5107, "total_energy_ev_per_atom": -5.48}

=====

{"formula": "ZnBiPO2", "functional": "GGA-PBE", "state": "relaxed", "lattice": [[-2.436, -3.144, 0.524], [2.360, -2.222, -2.364], [2.529, -1.331, 3.775]], "species": ["P", "Zn", "Bi", "O", "O"], "frac_coords": [[0.000, 0.000, 0.500], [0.000, 0.000, 0.000], [0.500, 0.500, 0.500], [0.000, 0.500, 0.000], [0.500, 0.000, 0.000]], "spacegroup": "P4/mmm", "mass_density_kg_m3": 7352, "total_energy_ev_per_atom": -4.15}

=====

{"formula": "ZnBiPO2", "functional": "GGA-PBE", "state": "relaxed", "lattice": [[-1.567, -2.458, -2.913], [3.564, 0.172, -2.062], [1.838, -4.494, 2.803]], "species": ["P", "Zn", "Bi", "O", "O"], "frac_coords": [[0.000, 0.000, 0.500], [0.500, 0.500, 0.500], [0.000, 0.000, 0.000], [0.000, 0.500, 0.000], [0.500, 0.000, 0.000]], "spacegroup": "P4/mmm", "mass_density_kg_m3": 5884, "total_energy_ev_per_atom": -4.04}

=====

Number 1: formation energy without anion corrections -0.106 eV/atom, E above lowest polymorph 0.149 eV per atom. Number 2: formation energy without anion corrections -0.255 eV/atom, E above lowest polymorph 0.000 eV per atom. Number 3: formation energy without anion corrections -0.058 eV/atom, E above lowest polymorph 0.000 eV per atom. Number 4: formation energy without anion corrections 0.052 eV/atom, E above lowest polymorph 0.110 eV per atom.